The following is a PBE calculation of a geometry-optimized ZnHgP2 structure, from the Alexandria database.

Cell: 3.6168 4.3614 9.9310 Å, 90.00 90.00 90.00°
Closest atoms and distances in Å follow each position.
Space group Cmmm (No. 65)
Symmetry-distinct sites (fractional):
Zn 0.0000 0.0000 0.0000 [2 per cell]  8 P 2.56-2.84, 4 Zn 2.83
Hg 0.0000 0.0000 0.5000 [2 per cell]  4 Hg 2.83
P 0.0000 0.5000 0.1831 [4 per cell]  4 Zn 2.56-2.84, 4 P 2.83

Values from the calculation:
* Fermi-level density of states: 3.27 states/eV per cell
* size of the total moment: 0.00 μB per formula unit
* polymorph energy (0 for the lowest one): 382 meV/atom
* energy relative to the elements: 0.443 eV per atom